The following is a DFT calculation (GGA-PBE) of a geometry-optimized Nd2Tc3Ge4 structure.

Lattice parameters (Å, degrees): 5.5531 5.5531 7.1453 101.14 101.14 120.17
Positions (direct):
Tc (0.0000, 0.0000, 0.0000)
Tc (0.5000, 0.0000, 0.0000)
Ge (0.0114, 0.6754, 0.6868)
Tc (0.0000, 0.5000, 0.0000)
Nd (0.6372, 0.6372, 0.2744)
Ge (0.9886, 0.3246, 0.3132)
Ge (0.6754, 0.0114, 0.6868)
Ge (0.3246, 0.9886, 0.3132)
Nd (0.3628, 0.3628, 0.7256)

- energy of formation (eV per atom) = -0.349
- crystal system = orthorhombic



The following is a DFT calculation (GGA-PBE) of a geometry-optimized MnAlSnW2 structure.

Lattice parameters (Å, degrees): 4.6325 4.3066 4.6325 90.00 90.00 90.00
Positions (direct):
Mn (0.0000, 0.5000, 0.0000)
W (0.5000, 0.0000, 0.0000)
W (0.0000, 0.0000, 0.5000)
Al (0.0000, 0.0000, 0.0000)
Sn (0.5000, 0.5000, 0.5000)

- energy of formation (eV per atom) = 1.559
- crystal system = tetragonal



The following is a DFT calculation (GGA-PBE) of a geometry-optimized PaSbP2 structure.

Lattice parameters (Å, degrees): 3.7391 3.7391 8.7372 77.64 77.64 60.00
Positions (direct):
Sb (0.5000, 0.5000, 0.5000)
P (0.1044, 0.1044, 0.6868)
P (0.8956, 0.8956, 0.3132)
Pa (0.0000, 0.0000, 0.0000)

- uncorrected formation energy (kJ per mole of atoms) = 35.14
- crystal system = trigonal



The following is a DFT calculation (GGA-PBE) of a geometry-optimized HPdRh2Au structure.

Lattice parameters (Å, degrees): 3.9430 3.9430 4.1447 90.00 90.00 90.00
Positions (direct):
Rh (0.0000, 0.5000, 0.0000)
H (0.0000, 0.0000, 0.0000)
Rh (0.5000, 0.0000, 0.0000)
Pd (0.5000, 0.5000, 0.5000)
Au (0.0000, 0.0000, 0.5000)

- crystal system = tetragonal
- relative energy among the computed polymorphs (meV/atom) = 65



The following is a DFT calculation (GGA-PBE) of a geometry-optimized Cs4ErU3O12 structure.

Lattice parameters (Å, degrees): 7.6312 7.6312 7.6312 109.47 109.47 109.47
Positions (direct):
O (0.2670, 0.2670, 0.0000)
O (0.5000, 0.7500, 0.2500)
Cs (0.0000, 0.5000, 0.0000)
O (0.7500, 0.2500, 0.5000)
O (0.5000, 0.2500, 0.7500)
U (0.0000, 0.5000, 0.5000)
Er (0.0000, 0.0000, 0.0000)
O (0.2500, 0.5000, 0.7500)
O (0.7330, 0.0000, 0.7330)
O (0.2500, 0.7500, 0.5000)
Cs (0.5000, 0.0000, 0.0000)
O (0.0000, 0.2670, 0.2670)
Cs (0.5000, 0.5000, 0.5000)
O (0.2670, 0.0000, 0.2670)
O (0.7500, 0.5000, 0.2500)
Cs (0.0000, 0.0000, 0.5000)
U (0.5000, 0.5000, 0.0000)
U (0.5000, 0.0000, 0.5000)
O (0.0000, 0.7330, 0.7330)
O (0.7330, 0.7330, 0.0000)

- uncorrected formation energy (kJ per mole of atoms) = -271.84
- crystal system = cubic



The following is a DFT calculation (GGA-PBE) of a geometry-optimized SmIn2Pd structure.

Lattice parameters (Å, degrees): 10.9481 10.9481 10.9481 100.34 100.34 129.86
Positions (direct):
Pd (0.6251, 0.6251, 0.3205)
Sm (0.6109, 0.3305, 0.7196)
Pd (0.3046, 0.6251, 0.0000)
In (0.2252, 0.7328, 0.2094)
In (0.2803, 0.4441, 0.1638)
In (0.2252, 0.0158, 0.4924)
Pd (0.1880, 0.9725, 0.2155)
In (0.7328, 0.5234, 0.5076)
In (0.1350, 0.7521, 0.6171)
Sm (0.0067, 0.0067, 0.0000)
In (0.6450, 0.9091, 0.0000)
In (0.2803, 0.1165, 0.8362)
Pd (0.6251, 0.3046, 0.0000)
In (0.6450, 0.6450, 0.7360)
In (0.7328, 0.2252, 0.2094)
Sm (0.3274, 0.9226, 0.0000)
In (0.1350, 0.5179, 0.3829)
Sm (0.8913, 0.6109, 0.2804)
In (0.0158, 0.5234, 0.7906)
In (0.7521, 0.1350, 0.6171)
Sm (0.5367, 0.5367, 0.0000)
Pd (0.3046, 0.3046, 0.6795)
Pd (0.7569, 0.9725, 0.7845)
In (0.5234, 0.7328, 0.5076)
Sm (0.6109, 0.8913, 0.2804)
In (0.5234, 0.0158, 0.7906)
In (0.1165, 0.2803, 0.8362)
In (0.0158, 0.2252, 0.4924)
Pd (0.8836, 0.3836, 0.5000)
Sm (0.9226, 0.3274, 0.0000)
Pd (0.9725, 0.1880, 0.2155)
In (0.5179, 0.1350, 0.3829)
Pd (0.9725, 0.7569, 0.7845)
Sm (0.3274, 0.3274, 0.4048)
In (0.4441, 0.2803, 0.1638)
Sm (0.3305, 0.6109, 0.7196)
In (0.9091, 0.6450, 0.0000)
In (0.9091, 0.9091, 0.2640)
Sm (0.9226, 0.9226, 0.5952)
Pd (0.3836, 0.8836, 0.5000)

- energy of formation (eV per atom) = -0.661
- crystal system = tetragonal



So what do the calculations give for theoretical density? Going down the list: 8.26, 10.21, 6.72, 13.15, 7.79, 8.85 g/cm3.
So what do the calculations give for E? Going down the list: -62.240, -35.028, -22.981, -25.755, -157.688, -180.336 eV per cell.